# 1
A crystal of Fe5Ni relaxed with PBEsol, computed with meta-GGA SCAN.

Lattice parameters (Å, degrees): 2.402 2.402 11.386 90.00 90.00 90.00
Space group P4/mmm (No. 123)
Inequivalent atoms, fractional coordinates:
Fe: 0.000 0.000 0.000 [1 per cell]
Fe: 0.000 0.000 0.342 [2 per cell]
Fe: 0.500 0.500 0.172 [2 per cell]
Ni: 0.500 0.500 0.500 [1 per cell]

For the total magnetic moment, the calculation gives 13.91 μB per cell. Its excess energy over the best structure of this formula in the dataset is 38 kJ/mol of formula units.



# 2
A crystal of MgFe2As relaxed with PBEsol, computed with meta-GGA SCAN.

Lattice parameters (Å, degrees): 3.756 3.756 3.829 90.00 90.00 90.00
Space group P4/mmm (No. 123)
Inequivalent atoms, fractional coordinates:
Mg: 0.000 0.000 0.000 [1 per cell]
Fe: 0.000 0.500 0.500 [2 per cell]
As: 0.500 0.500 0.000 [1 per cell]

The calculation puts the total energy at -15.363 eV/atom. For the total magnetic moment, the calculation gives 5.48 μB per cell.



# 3
A crystal of Ca2PtAu relaxed with PBEsol, computed with meta-GGA SCAN.

Lattice parameters (Å, degrees): 3.501 3.501 6.999 90.00 90.00 90.00
Space group P4/mmm (No. 123)
Inequivalent atoms, fractional coordinates:
Ca: 0.000 0.000 0.237 [2 per cell]
Pt: 0.500 0.500 0.000 [1 per cell]
Au: 0.500 0.500 0.500 [1 per cell]

The calculation puts the total energy at -40.652 eV/atom. For the total magnetic moment, the calculation gives 0.00 μB per cell.



# 4
A crystal of LiMg3 relaxed with PBEsol, computed with meta-GGA SCAN.

Lattice parameters (Å, degrees): 9.8284 9.8284 3.0393 90.00 90.00 120.00
Space group R-3m (No. 166, hexagonal axes)
Inequivalent atoms, fractional coordinates:
Li: 0.0000 0.0000 0.0000 [3 per cell]
Mg: 0.0000 0.5000 0.0000 [9 per cell]

The calculation puts the total energy at -4.346 eV/atom. For the total magnetic moment, the calculation gives 0.09 μB per cell.



# 5
A crystal of ZrPt5 relaxed with PBEsol, computed with meta-GGA SCAN.

Lattice parameters (Å, degrees): 4.8944 4.8944 4.5506 90.00 90.00 120.00
Space group P-62m (No. 189)
Inequivalent atoms, fractional coordinates:
Zr: 0.0000 0.0000 0.0000 [1 per cell]
Pt: 0.0000 0.3453 0.5000 [3 per cell]
Pt: 0.3333 0.6667 0.0000 [2 per cell]

The calculation puts the total energy at -64.318 eV/atom. For the total magnetic moment, the calculation gives 0.00 μB per cell.



# 6
A crystal of CoRe3Ni relaxed with PBEsol, computed with meta-GGA SCAN.

Lattice parameters (Å, degrees): 4.315 4.315 4.315 90.00 90.00 90.00
Space group Pm-3m (No. 221)
Inequivalent atoms, fractional coordinates:
Co: 0.000 0.000 0.000 [1 per cell]
Re: 0.000 0.500 0.500 [3 per cell]
Ni: 0.500 0.500 0.500 [1 per cell]

The calculation puts the total energy at -47.326 eV/atom. For the total magnetic moment, the calculation gives 1.70 μB per cell.



# 7
A crystal of WBr2Cl relaxed with PBEsol, computed with meta-GGA SCAN.

Lattice parameters (Å, degrees): 3.073 4.846 12.489 90.00 90.00 90.00
Space group Imm2 (No. 44)
Inequivalent atoms, fractional coordinates:
W: 0.000 0.000 0.000 [2 per cell]
Br: 0.000 0.000 0.499 [2 per cell]
Br: 0.000 0.500 0.664 [2 per cell]
Cl: 0.000 0.500 0.348 [2 per cell]

The value obtained for the uncorrected formation energy is 0.427 eV/f.u. For the total magnetic moment, the calculation gives 0.01 μB per cell. Its excess energy over the best structure of this formula in the dataset is 0 kJ/mol of formula units.



# 8
A crystal of KAuN2F relaxed with PBEsol, computed with meta-GGA SCAN.

Lattice parameters (Å, degrees): 5.099 5.099 4.554 90.00 90.00 90.00
Space group P4/mmm (No. 123)
Inequivalent atoms, fractional coordinates:
K: 0.000 0.000 0.000 [1 per cell]
Au: 0.500 0.500 0.500 [1 per cell]
N: 0.000 0.500 0.000 [2 per cell]
F: 0.000 0.000 0.500 [1 per cell]

The value obtained for the uncorrected formation energy is 7.528 eV/f.u. For the total magnetic moment, the calculation gives 5.01 μB per cell.



Q: Which formula does entry 2 have?
A: MgFe2As